Entry from Alexandria: KNdPuBr6 after structural relaxation (PBE).

Final energy (eV/atom): -5.069
Space-group type: P-31c, No. 163
ΔE_f (raw) (eV/atom): -1.7100
N(E_F) (states/eV/cell): 35.28
Volume (Å³/atom): 40.43

abc: 7.5707 7.5707 14.6614
angles: 90.00 90.00 120.00
With the nearest neighbours (Å) after each atom.
Fractional positions:
K1 0.0000 0.0000 0.0000  6 Br 3.37
K2 0.0000 0.0000 0.5000  6 Br 3.37
Nd1 0.3333 0.6667 0.2500  6 Br 2.93
Nd2 0.6667 0.3333 0.7500  6 Br 2.93
Pu1 0.6667 0.3333 0.2500  6 Br 2.98
Pu2 0.3333 0.6667 0.7500  6 Br 2.98
Br1 0.6362 0.6419 0.1349  1 Nd 2.93, 1 Pu 2.98
Br2 0.0057 0.3638 0.1349  1 Nd 2.93, 1 Pu 2.98
Br3 0.3638 0.0057 0.6349  1 Nd 2.93, 1 Pu 2.98
Br4 0.9943 0.6362 0.8651  1 Nd 2.93, 1 Pu 2.98
Br5 0.3581 0.3638 0.3651  1 Nd 2.93, 1 Pu 2.98
Br6 0.0057 0.6419 0.3651  1 Nd 2.93, 1 Pu 2.98
Br7 0.6419 0.0057 0.8651  1 Nd 2.93, 1 Pu 2.98
Br8 0.6362 0.9943 0.3651  1 Nd 2.93, 1 Pu 2.98
Br9 0.9943 0.3581 0.6349  1 Nd 2.93, 1 Pu 2.98
Br10 0.3581 0.9943 0.1349  1 Nd 2.93, 1 Pu 2.98
Br11 0.6419 0.6362 0.6349  1 Nd 2.93, 1 Pu 2.98
Br12 0.3638 0.3581 0.8651  1 Nd 2.93, 1 Pu 2.98